Entry 1:
This record from the Alexandria database describes a relaxed structure of Zn3CuC. The functional is PBE-GGA.

Cell lengths 4.5193, 4.5193, 4.5193 Å; angles 90.00, 90.00, 90.00 degrees
Last column: nearest neighbours and their distance in Å.
Sites, in units of the cell vectors:
Zn: 0.0000 0.0000 0.5000  2 Cu 2.26
Zn: 0.0000 0.5000 0.0000  2 Cu 2.26
Zn: 0.5000 0.0000 0.0000  2 Cu 2.26
Cu: 0.0000 0.0000 0.0000  6 Zn 2.26
C: 0.5000 0.5000 0.5000  12 Zn 3.20

Output
The total moment is 1.35 Bohr magnetons per cell. The distance to the lowest polymorph of the same formula comes out at 873 meV/atom. The calculation puts the calculated formation energy at 729 kJ/mol of formula units.

Entry 2:
This record from the Alexandria database describes a relaxed structure of Fe5NiPt6. The functional is PBE-GGA.

Cell lengths 6.1223, 6.1223, 7.4636 Å; angles 90.00, 90.00, 143.02 degrees
Last column: nearest neighbours and their distance in Å.
Sites, in units of the cell vectors:
Fe: 0.0000 0.0000 0.0000  8 Pt 2.68-2.70, 4 Fe 2.78
Fe: 0.3292 0.6708 0.0000  8 Pt 2.67-2.71, 4 Fe 2.68-2.78
Fe: 0.3383 0.6617 0.5000  8 Pt 2.66-2.71, 2 Ni 2.70, 2 Fe 2.82
Fe: 0.6617 0.3383 0.5000  8 Pt 2.66-2.71, 2 Ni 2.70, 2 Fe 2.82
Fe: 0.6708 0.3292 0.0000  8 Pt 2.67-2.71, 4 Fe 2.68-2.78
Ni: 0.0000 0.0000 0.5000  8 Pt 2.67-2.71, 4 Fe 2.70
Pt: 0.1664 0.8336 0.2535  1 Ni 2.67, 7 Fe 2.67-2.71, 4 Pt 2.74-2.75
Pt: 0.1664 0.8336 0.7465  1 Ni 2.67, 7 Fe 2.67-2.71, 4 Pt 2.74-2.75
Pt: 0.5000 0.5000 0.2470  6 Fe 2.66-2.71, 2 Ni 2.71, 4 Pt 2.74
Pt: 0.5000 0.5000 0.7530  6 Fe 2.66-2.71, 2 Ni 2.71, 4 Pt 2.74
Pt: 0.8336 0.1664 0.2535  1 Ni 2.67, 7 Fe 2.67-2.71, 4 Pt 2.74-2.75
Pt: 0.8336 0.1664 0.7465  1 Ni 2.67, 7 Fe 2.67-2.71, 4 Pt 2.74-2.75

Output
The total moment is 18.44 Bohr magnetons per cell. The calculation puts the calculated formation energy at -271 kJ/mol of formula units.

Entry 3:
This record from the Alexandria database describes a relaxed structure of NaMgCuSn. The functional is PBE-GGA.

Cell lengths 6.8424, 6.8424, 6.8424 Å; angles 90.00, 90.00, 90.00 degrees
Last column: nearest neighbours and their distance in Å.
Sites, in units of the cell vectors:
Na: 0.0000 0.0000 0.0000  4 Mg 2.96, 4 Cu 2.96
Na: 0.0000 0.5000 0.5000  4 Mg 2.96, 4 Cu 2.96
Na: 0.5000 0.0000 0.5000  4 Mg 2.96, 4 Cu 2.96
Na: 0.5000 0.5000 0.0000  4 Mg 2.96, 4 Cu 2.96
Mg: 0.2500 0.2500 0.2500  4 Sn 2.96, 4 Na 2.96
Mg: 0.2500 0.7500 0.7500  4 Sn 2.96, 4 Na 2.96
Mg: 0.7500 0.2500 0.7500  4 Sn 2.96, 4 Na 2.96
Mg: 0.7500 0.7500 0.2500  4 Sn 2.96, 4 Na 2.96
Cu: 0.2500 0.2500 0.7500  4 Sn 2.96, 4 Na 2.96
Cu: 0.2500 0.7500 0.2500  4 Sn 2.96, 4 Na 2.96
Cu: 0.7500 0.2500 0.2500  4 Sn 2.96, 4 Na 2.96
Cu: 0.7500 0.7500 0.7500  4 Sn 2.96, 4 Na 2.96
Sn: 0.0000 0.0000 0.5000  4 Mg 2.96, 4 Cu 2.96
Sn: 0.0000 0.5000 0.0000  4 Mg 2.96, 4 Cu 2.96
Sn: 0.5000 0.0000 0.0000  4 Mg 2.96, 4 Cu 2.96
Sn: 0.5000 0.5000 0.5000  4 Mg 2.96, 4 Cu 2.96

Output
The total moment is 0.00 Bohr magnetons per cell. The calculation puts the calculated formation energy at 4 kJ/mol of formula units.

Entry 4:
This record from the Alexandria database describes a relaxed structure of Cs2TbCdI6. The functional is PBE-GGA.

Cell lengths 8.8549, 12.5006, 8.8431 Å; angles 90.00, 90.00, 90.00 degrees
Last column: nearest neighbours and their distance in Å.
Sites, in units of the cell vectors:
Cs: 0.2500 0.0008 0.2501  12 I 4.41-4.44
Cs: 0.2500 0.4992 0.2501  12 I 4.41-4.44
Cs: 0.7500 0.5008 0.7499  12 I 4.41-4.44
Cs: 0.7500 0.9992 0.7499  12 I 4.41-4.44
Tb: 0.2500 0.2500 0.7497  6 I 3.05
Tb: 0.7500 0.7500 0.2503  6 I 3.05
Cd: 0.2500 0.7500 0.7504  6 I 3.21
Cd: 0.7500 0.2500 0.2496  6 I 3.21
I: 0.0072 0.2500 0.5057  1 Tb 3.05, 1 Cd 3.21
I: 0.0068 0.2500 0.9933  1 Tb 3.05, 1 Cd 3.21
I: 0.2500 0.0064 0.7493  1 Tb 3.05, 1 Cd 3.21
I: 0.2500 0.4936 0.7493  1 Tb 3.05, 1 Cd 3.21
I: 0.4928 0.2500 0.5057  1 Tb 3.05, 1 Cd 3.21
I: 0.4932 0.2500 0.9933  1 Tb 3.05, 1 Cd 3.21
I: 0.5068 0.7500 0.0067  1 Tb 3.05, 1 Cd 3.21
I: 0.5072 0.7500 0.4943  1 Tb 3.05, 1 Cd 3.21
I: 0.7500 0.5064 0.2507  1 Tb 3.05, 1 Cd 3.21
I: 0.7500 0.9936 0.2507  1 Tb 3.05, 1 Cd 3.21
I: 0.9932 0.7500 0.0067  1 Tb 3.05, 1 Cd 3.21
I: 0.9928 0.7500 0.4943  1 Tb 3.05, 1 Cd 3.21

Output
The total moment is 0.00 Bohr magnetons per cell. For the uncorrected formation energy, the calculation gives -1199 meV/atom.

Please write out number 2 again, unchanged.
This record from the Alexandria database describes a relaxed structure of Fe5NiPt6. The functional is PBE-GGA.

Cell lengths 6.1223, 6.1223, 7.4636 Å; angles 90.00, 90.00, 143.02 degrees
Last column: nearest neighbours and their distance in Å.
Sites, in units of the cell vectors:
Fe: 0.0000 0.0000 0.0000  8 Pt 2.68-2.70, 4 Fe 2.78
Fe: 0.3292 0.6708 0.0000  8 Pt 2.67-2.71, 4 Fe 2.68-2.78
Fe: 0.3383 0.6617 0.5000  8 Pt 2.66-2.71, 2 Ni 2.70, 2 Fe 2.82
Fe: 0.6617 0.3383 0.5000  8 Pt 2.66-2.71, 2 Ni 2.70, 2 Fe 2.82
Fe: 0.6708 0.3292 0.0000  8 Pt 2.67-2.71, 4 Fe 2.68-2.78
Ni: 0.0000 0.0000 0.5000  8 Pt 2.67-2.71, 4 Fe 2.70
Pt: 0.1664 0.8336 0.2535  1 Ni 2.67, 7 Fe 2.67-2.71, 4 Pt 2.74-2.75
Pt: 0.1664 0.8336 0.7465  1 Ni 2.67, 7 Fe 2.67-2.71, 4 Pt 2.74-2.75
Pt: 0.5000 0.5000 0.2470  6 Fe 2.66-2.71, 2 Ni 2.71, 4 Pt 2.74
Pt: 0.5000 0.5000 0.7530  6 Fe 2.66-2.71, 2 Ni 2.71, 4 Pt 2.74
Pt: 0.8336 0.1664 0.2535  1 Ni 2.67, 7 Fe 2.67-2.71, 4 Pt 2.74-2.75
Pt: 0.8336 0.1664 0.7465  1 Ni 2.67, 7 Fe 2.67-2.71, 4 Pt 2.74-2.75

Output
The total moment is 18.44 Bohr magnetons per cell. The calculation puts the calculated formation energy at -271 kJ/mol of formula units.

Question: Which formula does entry 2 have?
Answer: Fe5NiPt6

Question: Look up the total moment of the fourth one.
Answer: 0.00 Bohr magnetons per cell